PmTaMo2O8 | GGA+U | optimized geometry

Summary:
The electronic total energy is -8.249 eV/atom. Its total magnetization is 4.00 μB/cell. The value obtained for the calculated volume is 157.9 Å³/f.u.

a = 4.862 Å, b = 4.862 Å, c = 6.680 Å
α = 90.00°, β = 90.00°, γ = 88.81°
Last column: magnetic moment on the atom in μB.
Atoms (fractional coordinates):
O 0.800 0.201 0.785  -0.01
O 0.673 0.674 0.500  0.01
O 0.301 0.301 0.000  0.01
Mo 0.500 0.500 0.754  1.90
O 0.699 0.699 0.000  0.01
O 0.327 0.326 0.500  0.01
O 0.800 0.201 0.215  -0.01
Mo 0.500 0.500 0.246  1.90
O 0.200 0.799 0.785  -0.01
Ta 0.000 0.000 0.000  0.06
Pm 0.000 0.000 0.500  0.01
O 0.200 0.799 0.215  -0.01